1.
Compound: Tl5Hg2Te3
Source: the Alexandria database
Functional: GGA-PBE
Structure: relaxed

abc: 16.2847 10.7449 9.2314
angles: 90.00 122.29 90.00
With the nearest neighbours (Å) after each atom.
Space group C2/c (No. 15)
One atom of each set of equivalent atoms:
Tl: 0.0000 0.0761 0.2500  2 Te 3.26, 2 Hg 3.62
Tl: 0.0788 0.2935 0.6464  4 Te 3.28-3.62
Tl: 0.2293 0.4583 0.0978  2 Hg 3.14-3.28, 2 Te 3.29-3.50
Hg: 0.1831 0.3072 0.3376  1 Hg 2.87, 2 Te 3.07-3.09, 1 Tl 3.14
Te: 0.0000 0.4569 0.2500  2 Hg 3.09, 2 Tl 3.33
Te: 0.1275 0.1412 0.0280  1 Hg 3.07, 3 Tl 3.26-3.29

Calculated density (g/cm³): 8.785
Energy relative to the elements, uncorrected (meV/atom): -197
DOS(E_F) (states/eV per cell): 8.51



2.
Compound: Tl2HgTe
Source: the Alexandria database
Functional: GGA-PBE
Structure: relaxed

abc: 4.2078 5.5899 10.4513
angles: 90.00 90.00 90.00
With the nearest neighbours (Å) after each atom.
Space group Cmm2 (No. 35)
One atom of each set of equivalent atoms:
Tl: 0.0000 0.0000 0.0000  2 Te 3.25, 6 Tl 3.50-3.55
Tl: 0.0000 0.5000 0.2734  2 Hg 3.28, 6 Tl 3.50-3.55
Hg: 0.0000 0.0000 0.5144  2 Tl 3.28, 2 Te 3.34, 4 Hg 3.50
Te: 0.0000 0.5000 0.7626  2 Tl 3.25, 2 Hg 3.34, 4 Te 3.50

Calculated density (g/cm³): 9.956
Energy relative to the elements, uncorrected (meV/atom): 6
Excess energy over the best structure of this formula in the dataset (eV/f.u.): 0.88
DOS(E_F) (states/eV per cell): 4.45



3.
Compound: TlHgTe
Source: the Alexandria database
Functional: GGA-PBE
Structure: relaxed

abc: 7.6127 7.6127 7.6127
angles: 90.00 90.00 90.00
With the nearest neighbours (Å) after each atom.
Space group F-43m (No. 216)
One atom of each set of equivalent atoms:
Tl: 0.0000 0.0000 0.0000  4 Te 3.30
Hg: 0.0000 0.0000 0.5000  4 Te 3.30
Te: 0.2500 0.2500 0.2500  4 Hg 3.30, 4 Tl 3.30

Calculated density (g/cm³): 8.018
Energy relative to the elements, uncorrected (meV/atom): -81
Excess energy over the best structure of this formula in the dataset (eV/f.u.): 0.31
DOS(E_F) (states/eV per cell): 7.32



4.
Compound: Tl9HgTe2
Source: the Alexandria database
Functional: GGA-PBE
Structure: relaxed

abc: 4.9493 4.9493 15.5145
angles: 90.00 90.00 90.00
With the nearest neighbours (Å) after each atom.
Space group P4/mmm (No. 123)
One atom of each set of equivalent atoms:
Tl: 0.0000 0.0000 0.0000  4 Hg 3.50, 8 Tl 3.52
Tl: 0.0000 0.0000 0.3296  4 Te 3.50, 8 Tl 3.60-3.62
Tl: 0.0000 0.5000 0.1609  8 Tl 3.50-3.60, 2 Hg 3.52, 2 Te 3.63
Tl: 0.0000 0.5000 0.5000  8 Tl 3.50-3.62, 4 Te 3.59
Hg: 0.5000 0.5000 0.0000  12 Tl 3.50-3.52
Te: 0.5000 0.5000 0.3322  12 Tl 3.50-3.63

Calculated density (g/cm³): 10.029
Energy relative to the elements, uncorrected (meV/atom): -114
DOS(E_F) (states/eV per cell): 5.23



5.
Compound: Tl5HgTe3
Source: the Alexandria database
Functional: GGA-PBE
Structure: relaxed

abc: 18.1731 7.7511 10.6441
angles: 90.00 107.33 90.00
With the nearest neighbours (Å) after each atom.
Space group C2/c (No. 15)
One atom of each set of equivalent atoms:
Tl: 0.0000 0.2174 0.2500  4 Te 3.34-3.45
Tl: 0.1667 0.2571 0.0908  4 Te 3.27-3.47
Tl: 0.1680 0.2671 0.5769  4 Te 3.31-3.63, 1 Tl 3.69
Hg: 0.0000 0.2983 0.7500  4 Te 3.09-3.45
Te: 0.0000 0.5000 0.0000  2 Hg 3.09, 6 Tl 3.43-3.45
Te: 0.1580 0.0276 0.8288  7 Tl 3.27-3.63, 1 Hg 3.45

Calculated density (g/cm³): 7.450
Energy relative to the elements, uncorrected (meV/atom): -202
DOS(E_F) (states/eV per cell): 2.51



6.
Compound: TlHg2Te
Source: the Alexandria database
Functional: GGA-PBE
Structure: relaxed

abc: 6.8281 6.4169 6.2792
angles: 90.00 108.83 90.00
With the nearest neighbours (Å) after each atom.
Space group Cm (No. 8)
One atom of each set of equivalent atoms:
Tl: 0.0000 0.0000 0.0000  2 Hg 3.10, 4 Te 3.21-3.42
Hg: 0.2359 0.0000 0.5120  1 Te 3.01, 1 Tl 3.10, 3 Hg 3.20-3.22
Hg: 0.2608 0.5000 0.4884  1 Te 3.01, 1 Tl 3.10, 3 Hg 3.20-3.22
Te: 0.0001 0.5000 0.9998  2 Hg 3.01, 2 Tl 3.21

Calculated density (g/cm³): 9.351
Energy relative to the elements, uncorrected (meV/atom): -61
Excess energy over the best structure of this formula in the dataset (eV/f.u.): 0.01
DOS(E_F) (states/eV per cell): 3.11